DFT (PBE) results for a relaxed structure of AcPrNd4Ho2.

Properties
Its raw total energy is -4.6072 eV per atom.

abc: 5.2041 6.3856 9.7667
angles: 89.82 74.55 65.95
Element x y z (fractional)
Ac (0.5000, 0.5000, 0.5000)
Pr (0.0000, 0.0000, 0.0000)
Nd (0.1229, 0.1252, 0.6289)
Nd (0.3734, 0.3758, 0.8774)
Nd (0.8771, 0.8748, 0.3711)
Nd (0.6266, 0.6242, 0.1226)
Ho (0.7447, 0.7561, 0.7546)
Ho (0.2553, 0.2439, 0.2454)